Computed, not measured: crystalline Sm2ThReC4 at its relaxed geometry at the PBE level of DFT.

abc: 3.5468 6.3939 12.5590
angles: 90.00 90.00 106.10
Fractional coordinates of all 16 atoms:
Sm: 0.3693 0.7385 0.5385
Sm: 0.6307 0.2615 0.0385
Sm: 0.6307 0.2615 0.4615
Sm: 0.3693 0.7385 0.9615
Th: 0.0917 0.1833 0.7500
Th: 0.9083 0.8167 0.2500
Re: 0.8296 0.6591 0.7500
Re: 0.1704 0.3409 0.2500
C: 0.2707 0.5414 0.1363
C: 0.7293 0.4586 0.6363
C: 0.7293 0.4586 0.8637
C: 0.2707 0.5414 0.3637
C: 0.0000 0.0000 0.5000
C: 0.0000 0.0000 0.0000
C: 0.4186 0.8372 0.7500
C: 0.5814 0.1628 0.2500

As for the space-group type: Cmcm. As for the electronic total energy: -8.290 eV/atom. The volume comes out at 273.6 Å³ per cell. The calculation puts the formation energy at -15 meV per atom.


Computed, not measured: crystalline Mg3PN at its relaxed geometry at the PBE level of DFT.

abc: 3.9085 3.9085 12.8426
angles: 90.00 90.00 120.00
Fractional coordinates of all 10 atoms:
P: 0.0000 0.0000 0.0000
P: 0.0000 0.0000 0.5000
Mg: 0.0000 0.0000 0.2500
Mg: 0.0000 0.0000 0.7500
Mg: 0.3333 0.6667 0.9081
Mg: 0.3333 0.6667 0.5919
Mg: 0.6667 0.3333 0.4081
Mg: 0.6667 0.3333 0.0919
N: 0.3333 0.6667 0.7500
N: 0.6667 0.3333 0.2500

As for the space-group type: P6_3/mmc. As for the electronic total energy: -4.314 eV/atom. Its polymorph energy (0 for the lowest one) is 0.128 eV/atom. As for the uncorrected formation energy: -0.610 eV per atom. The volume comes out at 169.9 Å³ per cell.